[1]
A plane-wave DFT calculation with PBE was carried out for a relaxed TlAs3Br crystal.

The value obtained for the formation energy from raw total energies is 5.6 eV/f.u. The value obtained for the spin magnetization is 0.00 μB/cell.

It has space group Pm-3m (No. 221), with a = 5.410 Å, b = 5.410 Å, c = 5.410 Å, α = 90.00°, β = 90.00° and γ = 90.00°. Symmetry generates all atoms from Tl at (0.000, 0.000, 0.000), As at (0.000, 0.000, 0.500) and Br at (0.500, 0.500, 0.500).


[2]
A plane-wave DFT calculation with PBE was carried out for a relaxed TlAs2Br crystal.

The value obtained for the formation energy from raw total energies is 0.9 eV/f.u. The value obtained for the spin magnetization is 0.00 μB/cell.

It has space group I4/mmm (No. 139), with a = 4.066 Å, b = 4.066 Å, c = 14.914 Å, α = 90.00°, β = 90.00° and γ = 90.00°. Symmetry generates all atoms from Tl at (0.000, 0.000, 0.000), As at (0.000, 0.500, 0.250) and Br at (0.000, 0.000, 0.500).


[3]
A plane-wave DFT calculation with PBE was carried out for a relaxed Tl2AsBr6 crystal.

The value obtained for the formation energy from raw total energies is -4.8 eV/f.u. The value obtained for the spin magnetization is 0.00 μB/cell.

It has space group C2/m (No. 12), with a = 12.807 Å, b = 7.411 Å, c = 7.466 Å, α = 90.00°, β = 124.52° and γ = 90.00°. Symmetry generates all atoms from Tl at (0.246, 0.000, 0.240), As at (0.000, 0.500, 0.000), Br at (0.021, 0.253, 0.778) and Br at (0.243, 0.500, 0.279).


[4]
A plane-wave DFT calculation with PBE was carried out for a relaxed Tl12As5Br crystal.

The value obtained for the formation energy from raw total energies is -0.6 eV/f.u. The value obtained for the spin magnetization is 0.00 μB/cell.

It has space group Immm (No. 71), with a = 9.877 Å, b = 10.288 Å, c = 10.826 Å, α = 90.00°, β = 90.00° and γ = 90.00°. Symmetry generates all atoms from Tl at (0.000, 0.206, 0.235), Tl at (0.227, 0.500, 0.184), Tl at (0.232, 0.316, 0.500), As at (0.000, 0.000, 0.000), As at (0.000, 0.381, 0.000), As at (0.000, 0.500, 0.387) and Br at (0.000, 0.000, 0.500).


[5]
A plane-wave DFT calculation with PBE was carried out for a relaxed TlAs2Br crystal.

The value obtained for the formation energy from raw total energies is -0.7 eV/f.u. The value obtained for the spin magnetization is 0.00 μB/cell.

It has space group C2/m (No. 12), with a = 12.121 Å, b = 3.762 Å, c = 5.113 Å, α = 90.00°, β = 96.56° and γ = 90.00°. Symmetry generates all atoms from Tl at (0.000, 0.000, 0.000), As at (0.231, 0.000, 0.151) and Br at (0.000, 0.500, 0.500).


[6]
A plane-wave DFT calculation with PBE was carried out for a relaxed TlAs2Br6 crystal.

The value obtained for the formation energy from raw total energies is -3.8 eV/f.u. The value obtained for the spin magnetization is 0.00 μB/cell.

It has space group C2/c (No. 15), with a = 14.132 Å, b = 12.615 Å, c = 11.072 Å, α = 90.00°, β = 125.11° and γ = 90.00°. Symmetry generates all atoms from Tl at (0.000, 0.079, 0.250), As at (0.130, 0.457, 0.215), Br at (0.118, 0.477, 0.460), Br at (0.128, 0.271, 0.172) and Br at (0.152, 0.024, 0.620).


[7]
A plane-wave DFT calculation with PBE was carried out for a relaxed TlVAsBr2 crystal.

The value obtained for the formation energy from raw total energies is -1.5 eV/f.u. The value obtained for the spin magnetization is 1.08 μB/cell.

It has space group P4/mmm (No. 123), with a = 5.332 Å, b = 5.332 Å, c = 4.849 Å, α = 90.00°, β = 90.00° and γ = 90.00°. Symmetry generates all atoms from Tl at (0.000, 0.000, 0.000), V at (0.500, 0.500, 0.500), As at (0.500, 0.500, 0.000) and Br at (0.000, 0.500, 0.500).


[8]
A plane-wave DFT calculation with PBE was carried out for a relaxed TlVAs2Br crystal.

The value obtained for the formation energy from raw total energies is -0.5 eV/f.u. The value obtained for the spin magnetization is 0.61 μB/cell.

It has space group P4/mmm (No. 123), with a = 4.740 Å, b = 4.740 Å, c = 5.732 Å, α = 90.00°, β = 90.00° and γ = 90.00°. Symmetry generates all atoms from Tl at (0.000, 0.000, 0.000), V at (0.500, 0.500, 0.500), As at (0.000, 0.500, 0.500) and Br at (0.500, 0.500, 0.000).


[9]
A plane-wave DFT calculation with PBE was carried out for a relaxed TlAsWBr2 crystal.

The value obtained for the formation energy from raw total energies is 0.8 eV/f.u. The value obtained for the spin magnetization is 1.74 μB/cell.

It has space group P4/mmm (No. 123), with a = 5.429 Å, b = 5.429 Å, c = 4.879 Å, α = 90.00°, β = 90.00° and γ = 90.00°. Symmetry generates all atoms from Tl at (0.000, 0.000, 0.000), As at (0.500, 0.500, 0.000), W at (0.500, 0.500, 0.500) and Br at (0.000, 0.500, 0.500).


[10]
A plane-wave DFT calculation with PBE was carried out for a relaxed YTlAs2Br crystal.

The value obtained for the formation energy from raw total energies is -1.4 eV/f.u. The value obtained for the spin magnetization is 0.92 μB/cell.

It has space group P4/mmm (No. 123), with a = 5.522 Å, b = 5.522 Å, c = 5.675 Å, α = 90.00°, β = 90.00° and γ = 90.00°. Symmetry generates all atoms from Y at (0.000, 0.000, 0.000), Tl at (0.500, 0.500, 0.500), As at (0.000, 0.500, 0.000) and Br at (0.000, 0.000, 0.500).


[11]
A plane-wave DFT calculation with PBE was carried out for a relaxed YTlAsBr2 crystal.

The value obtained for the formation energy from raw total energies is -4.2 eV/f.u. The value obtained for the spin magnetization is 1.01 μB/cell.

It has space group P4/mmm (No. 123), with a = 5.587 Å, b = 5.587 Å, c = 5.678 Å, α = 90.00°, β = 90.00° and γ = 90.00°. Symmetry generates all atoms from Y at (0.000, 0.000, 0.000), Tl at (0.500, 0.500, 0.500), As at (0.000, 0.000, 0.500) and Br at (0.000, 0.500, 0.000).


[12]
A plane-wave DFT calculation with PBE was carried out for a relaxed YTlAs2Br crystal.

The value obtained for the formation energy from raw total energies is 1.2 eV/f.u. The value obtained for the spin magnetization is 0.00 μB/cell.

It has space group P4/mmm (No. 123), with a = 5.246 Å, b = 5.246 Å, c = 5.527 Å, α = 90.00°, β = 90.00° and γ = 90.00°. Symmetry generates all atoms from Y at (0.000, 0.000, 0.000), Tl at (0.500, 0.500, 0.500), As at (0.000, 0.500, 0.500) and Br at (0.500, 0.500, 0.000).


[13]
A plane-wave DFT calculation with PBE was carried out for a relaxed YTlAsBr2 crystal.

The value obtained for the formation energy from raw total energies is 0.0 eV/f.u. The value obtained for the spin magnetization is 0.00 μB/cell.

It has space group P4/mmm (No. 123), with a = 5.514 Å, b = 5.514 Å, c = 5.438 Å, α = 90.00°, β = 90.00° and γ = 90.00°. Symmetry generates all atoms from Y at (0.000, 0.000, 0.000), Tl at (0.500, 0.500, 0.500), As at (0.500, 0.500, 0.000) and Br at (0.000, 0.500, 0.500).


[14]
A plane-wave DFT calculation with PBE was carried out for a relaxed TlZnAs2Br crystal.

The value obtained for the formation energy from raw total energies is 4.1 eV/f.u. The value obtained for the spin magnetization is 2.63 μB/cell.

It has space group P4/mmm (No. 123), with a = 5.489 Å, b = 5.489 Å, c = 5.838 Å, α = 90.00°, β = 90.00° and γ = 90.00°. Symmetry generates all atoms from Tl at (0.000, 0.000, 0.000), Zn at (0.500, 0.500, 0.500), As at (0.000, 0.500, 0.000) and Br at (0.000, 0.000, 0.500).


[15]
A plane-wave DFT calculation with PBE was carried out for a relaxed TlZnAsBr2 crystal.

The value obtained for the formation energy from raw total energies is -0.8 eV/f.u. The value obtained for the spin magnetization is 1.93 μB/cell.

It has space group P4/mmm (No. 123), with a = 5.556 Å, b = 5.556 Å, c = 4.902 Å, α = 90.00°, β = 90.00° and γ = 90.00°. Symmetry generates all atoms from Tl at (0.000, 0.000, 0.000), Zn at (0.500, 0.500, 0.500), As at (0.500, 0.500, 0.000) and Br at (0.000, 0.500, 0.500).


[16]
A plane-wave DFT calculation with PBE was carried out for a relaxed TlZnAs2Br crystal.

The value obtained for the formation energy from raw total energies is 1.1 eV/f.u. The value obtained for the spin magnetization is 0.00 μB/cell.

It has space group P4/mmm (No. 123), with a = 4.837 Å, b = 4.837 Å, c = 6.024 Å, α = 90.00°, β = 90.00° and γ = 90.00°. Symmetry generates all atoms from Tl at (0.000, 0.000, 0.000), Zn at (0.500, 0.500, 0.500), As at (0.000, 0.500, 0.500) and Br at (0.500, 0.500, 0.000).


[17]
A plane-wave DFT calculation with PBE was carried out for a relaxed TlZnAsBr2 crystal.

The value obtained for the formation energy from raw total energies is 1.7 eV/f.u. The value obtained for the spin magnetization is 1.66 μB/cell.

It has space group P4/mmm (No. 123), with a = 5.733 Å, b = 5.733 Å, c = 5.609 Å, α = 90.00°, β = 90.00° and γ = 90.00°. Symmetry generates all atoms from Tl at (0.000, 0.000, 0.000), Zn at (0.500, 0.500, 0.500), As at (0.000, 0.000, 0.500) and Br at (0.000, 0.500, 0.000).


[18]
A plane-wave DFT calculation with PBE was carried out for a relaxed ZrTlAs2Br crystal.

The value obtained for the formation energy from raw total energies is 4.3 eV/f.u. The value obtained for the spin magnetization is 0.70 μB/cell.

It has space group P4/mmm (No. 123), with a = 5.223 Å, b = 5.223 Å, c = 5.449 Å, α = 90.00°, β = 90.00° and γ = 90.00°. Symmetry generates all atoms from Zr at (0.000, 0.000, 0.000), Tl at (0.500, 0.500, 0.500), As at (0.000, 0.500, 0.500) and Br at (0.500, 0.500, 0.000).


[19]
A plane-wave DFT calculation with PBE was carried out for a relaxed ZrTlAsBr2 crystal.

The value obtained for the formation energy from raw total energies is 3.0 eV/f.u. The value obtained for the spin magnetization is 1.39 μB/cell.

It has space group P4/mmm (No. 123), with a = 5.494 Å, b = 5.494 Å, c = 5.412 Å, α = 90.00°, β = 90.00° and γ = 90.00°. Symmetry generates all atoms from Zr at (0.000, 0.000, 0.000), Tl at (0.500, 0.500, 0.500), As at (0.500, 0.500, 0.000) and Br at (0.000, 0.500, 0.500).


[20]
A plane-wave DFT calculation with PBE was carried out for a relaxed ZrTlAs2Br crystal.

The value obtained for the formation energy from raw total energies is -1.5 eV/f.u. The value obtained for the spin magnetization is 0.00 μB/cell.

It has space group P4/mmm (No. 123), with a = 5.202 Å, b = 5.202 Å, c = 5.663 Å, α = 90.00°, β = 90.00° and γ = 90.00°. Symmetry generates all atoms from Zr at (0.000, 0.000, 0.000), Tl at (0.500, 0.500, 0.500), As at (0.000, 0.500, 0.000) and Br at (0.000, 0.000, 0.500).


For the records above, the corresponding DOS(E_F) values read 8.4, 6.4, 8.5, 19.4, 0.7, 2.5, 2.2, 2.5, 1.9, 4.4, 2.9, 3.6, 1.4, 4.5, 1.2, 3.7, 2.3, 5.1, 4.2, 2.9 states/eV per cell.